This record from the Open Quantum Materials Database describes a relaxed structure of K6Co2O5. The functional is GGA+U.

Lattice parameters (Å, degrees): 6.6341 6.6341 6.5612 91.31 91.31 118.04
Each line ends with the local moment (μB).
Fractional coordinates of all 13 atoms:
O  0.2085  0.4926  0.4057  0.16
O  0.0975  0.8134  0.9536  -0.16
O  0.8134  0.0975  0.9536  -0.15
O  0.4926  0.2085  0.4057  0.16
O  0.5922  0.5922  0.7561  0.00
K  0.8853  0.4139  0.6844  0.00
K  0.0072  0.0072  0.3666  0.00
K  0.4407  0.8561  0.1773  0.00
K  0.3001  0.3001  0.9963  0.00
K  0.8561  0.4407  0.1773  0.00
K  0.4139  0.8853  0.6844  0.00
Co  0.4353  0.4353  0.5025  2.50
Co  0.8535  0.8535  0.8819  -2.50

## Properties
- E above lowest polymorph: 0.0 meV/atom
- Electronic total energy: -4.395 eV/atom